# SrIn2Au meta-GGA SCAN single point on PBEsol structure
# - DFT total energy (eV/atom) = -39.964
# - Fermi-level density of states (states/eV/f.u.) = 1.44
# - density (Mg/m³) = 8.7
data_SrIn2Au
_chemical_formula_sum 'Sr1 In2 Au1'
_cell_length_a 3.543
_cell_length_b 3.543
_cell_length_c 7.817
_cell_angle_alpha 90.00
_cell_angle_beta 90.00
_cell_angle_gamma 90.00
_space_group_name_H-M_alt 'P 4/m m m'
_space_group_IT_number 123
_space_group_name_Hall '-P 4 2'
loop_
_atom_site_label
_atom_site_type_symbol
_atom_site_fract_x
_atom_site_fract_y
_atom_site_fract_z
Sr1 Sr 0.000 0.000 0.000
In1 In 0.500 0.500 0.301
Au1 Au 0.000 0.000 0.500


# LiNiSb2 meta-GGA SCAN single point on PBEsol structure
# - DFT total energy (eV/atom) = -23.334
# - Fermi-level density of states (states/eV/f.u.) = 1.89
# - density (Mg/m³) = 7.1
# - energy relative to the lowest polymorph listed for this composition (kJ/mol of atoms) = 7.1
data_LiNiSb2
_chemical_formula_sum 'Li2 Ni2 Sb4'
_cell_length_a 4.488
_cell_length_b 4.488
_cell_length_c 7.166
_cell_angle_alpha 90.00
_cell_angle_beta 90.00
_cell_angle_gamma 90.00
_space_group_name_H-M_alt 'I 4/m m m'
_space_group_IT_number 139
_space_group_name_Hall '-I 4 2'
loop_
_atom_site_label
_atom_site_type_symbol
_atom_site_fract_x
_atom_site_fract_y
_atom_site_fract_z
Li1 Li 0.000 0.000 0.000
Ni1 Ni 0.000 0.000 0.500
Sb1 Sb 0.000 0.500 0.250


# Fe2Sb meta-GGA SCAN single point on PBEsol structure
# - DFT total energy (eV/atom) = -23.852
# - Fermi-level density of states (states/eV/f.u.) = 3.28
# - density (Mg/m³) = 8.9
data_Fe2Sb
_chemical_formula_sum 'Fe8 Sb4'
_cell_length_a 3.643
_cell_length_b 3.643
_cell_length_c 13.188
_cell_angle_alpha 90.00
_cell_angle_beta 90.00
_cell_angle_gamma 90.00
_space_group_name_H-M_alt 'I 41/a m d'
_space_group_IT_number 141
loop_
_space_group_symop_operation_xyz
'x,y,z'
'-x,-y,-z'
'-y+1/4,x+3/4,z+1/4'
'y+1/4,-x+3/4,-z+1/4'
'-x+1/2,-y,z+1/2'
'x+1/2,y,-z+1/2'
'y+1/4,-x+1/4,z+3/4'
'-y+1/4,x+1/4,-z+3/4'
'x,-y,-z'
'-x,y,z'
'-y+1/4,-x+1/4,-z+3/4'
'y+1/4,x+1/4,z+3/4'
'-x+1/2,y,-z+1/2'
'x+1/2,-y,z+1/2'
'y+1/4,x+3/4,-z+1/4'
'-y+1/4,-x+3/4,z+1/4'
'x+1/2,y+1/2,z+1/2'
'-x+1/2,-y+1/2,-z+1/2'
'-y+3/4,x+1/4,z+3/4'
'y+3/4,-x+1/4,-z+3/4'
'-x,-y+1/2,z'
'x,y+1/2,-z'
'y+3/4,-x+3/4,z+1/4'
'-y+3/4,x+3/4,-z+1/4'
'x+1/2,-y+1/2,-z+1/2'
'-x+1/2,y+1/2,z+1/2'
'-y+3/4,-x+3/4,-z+1/4'
'y+3/4,x+3/4,z+1/4'
'-x,y+1/2,-z'
'x,-y+1/2,z'
'y+3/4,x+1/4,-z+3/4'
'-y+3/4,-x+1/4,z+3/4'
loop_
_atom_site_label
_atom_site_type_symbol
_atom_site_fract_x
_atom_site_fract_y
_atom_site_fract_z
Fe1 Fe 0.000 0.250 0.293
Sb1 Sb 0.000 0.250 0.875


# ZrGaHgP2 meta-GGA SCAN single point on PBEsol structure
# - DFT total energy (eV/atom) = -26.061
# - Fermi-level density of states (states/eV/f.u.) = 3.82
# - density (Mg/m³) = 5.7
data_ZrGaHgP2
_chemical_formula_sum 'Zr1 Ga1 Hg1 P2'
_cell_length_a 4.793
_cell_length_b 4.793
_cell_length_c 5.416
_cell_angle_alpha 90.00
_cell_angle_beta 90.00
_cell_angle_gamma 90.00
_space_group_name_H-M_alt 'P 4/m m m'
_space_group_IT_number 123
_space_group_name_Hall '-P 4 2'
loop_
_atom_site_label
_atom_site_type_symbol
_atom_site_fract_x
_atom_site_fract_y
_atom_site_fract_z
Zr1 Zr 0.000 0.000 0.000
Ga1 Ga 0.500 0.500 0.000
Hg1 Hg 0.000 0.000 0.500
P1 P 0.000 0.500 0.500


# Co2SbP meta-GGA SCAN single point on PBEsol structure
# - DFT total energy (eV/atom) = -20.641
# - Fermi-level density of states (states/eV/f.u.) = 1.88
# - density (Mg/m³) = 7.9
# - energy relative to the lowest polymorph listed for this composition (kJ/mol of atoms) = 0.0
data_Co2SbP
_chemical_formula_sum 'Co6 Sb3 P3'
_cell_length_a 3.4743
_cell_length_b 3.4743
_cell_length_c 16.2463
_cell_angle_alpha 90.00
_cell_angle_beta 90.00
_cell_angle_gamma 120.00
_space_group_name_H-M_alt 'R -3 m'
_space_group_IT_number 166
_space_group_name_Hall '-R 3 2"'
loop_
_atom_site_label
_atom_site_type_symbol
_atom_site_fract_x
_atom_site_fract_y
_atom_site_fract_z
Co1 Co 0.0000 0.0000 0.2175
Sb1 Sb 0.0000 0.0000 0.0000
P1 P 0.0000 0.0000 0.5000


# LiBeTe2I meta-GGA SCAN single point on PBEsol structure
# - DFT total energy (eV/atom) = -22.895
# - Fermi-level density of states (states/eV/f.u.) = 4.60
# - density (Mg/m³) = 5.1
data_LiBeTe2I
_chemical_formula_sum 'Li1 Be1 Te2 I1'
_cell_length_a 5.048
_cell_length_b 5.048
_cell_length_c 5.134
_cell_angle_alpha 90.00
_cell_angle_beta 90.00
_cell_angle_gamma 90.00
_space_group_name_H-M_alt 'P 4/m m m'
_space_group_IT_number 123
_space_group_name_Hall '-P 4 2'
loop_
_atom_site_label
_atom_site_type_symbol
_atom_site_fract_x
_atom_site_fract_y
_atom_site_fract_z
Li1 Li 0.000 0.000 0.000
Be1 Be 0.500 0.500 0.500
Te1 Te 0.000 0.500 0.000
I1 I 0.000 0.000 0.500


| no. | total magnetization (μB per cell) |
| --- | --- |
| 1 | 0.000 |
| 2 | 0.000 |
| 3 | 16.640 |
| 4 | 0.000 |
| 5 | 0.000 |
| 6 | 0.144 |